[1]
A relaxed structure of Y2ThSc8, computed with PBE.

Magnetization, μB per cell: 0.00
Space group: Immm, No. 71
Crystal system: orthorhombic
Formation energy, eV/atom: 0.15

Geometry as POSCAR:
```
Y2ThSc8
1.0
5.1210 1.8422 0.0000
2.7939 8.3010 0.0000
1.3970 4.1505 8.0460
Y Th Sc
2 1 8
direct
0.0000 0.3096 0.3808
0.0000 0.6904 0.6192
0.5000 0.0000 0.0000
0.7792 0.0940 0.2535
0.7792 0.3475 0.7465
0.2429 0.4997 0.0000
0.5000 0.7978 0.4043
0.5000 0.2022 0.5957
0.7571 0.5003 0.0000
0.2208 0.6525 0.2535
0.2208 0.9060 0.7465
```

---

[2]
A relaxed structure of Zr9Sc4Cd11, computed with PBE.

Magnetization, μB per cell: 2.20
Space group: Cmmm, No. 65
Crystal system: orthorhombic
Formation energy, eV/atom: -0.07

Geometry as POSCAR:
```
Zr9Sc4Cd11
1.0
3.1587 0.0000 0.0000
0.0000 12.4287 -5.4626
0.0000 -0.1388 13.5754
Zr Sc Cd
9 4 11
direct
0.5000 0.6141 0.1665
0.5000 0.3859 0.8335
0.5000 0.1665 0.6141
0.5000 0.8335 0.3859
0.5000 0.7986 0.9848
0.5000 0.2014 0.0152
0.5000 0.9848 0.7986
0.5000 0.0152 0.2014
0.5000 0.5000 0.5000
0.5000 0.5840 0.7526
0.5000 0.4160 0.2474
0.5000 0.7526 0.5840
0.5000 0.2474 0.4160
0.0000 0.5944 0.9604
0.0000 0.4056 0.0396
0.0000 0.9604 0.5944
0.0000 0.0396 0.4056
0.0000 0.6234 0.3766
0.0000 0.3766 0.6234
0.0000 0.8148 0.1852
0.0000 0.1852 0.8148
0.0000 0.0000 0.0000
0.0000 0.7857 0.7857
0.0000 0.2143 0.2143
```

---

[3]
A relaxed structure of Y6FePd2, computed with PBE.

Magnetization, μB per cell: 0.00
Space group: P2_1/c, No. 14
Crystal system: monoclinic
Formation energy, eV/atom: -0.38

Geometry as POSCAR:
```
Y6FePd2
1.0
-3.5214 0.2659 -5.4786
-6.1998 -0.5776 3.9570
-0.3351 9.7702 0.9012
Y Fe Pd
12 2 4
direct
0.1411 0.0338 0.2509
0.1693 0.3163 0.5619
0.1630 0.3251 0.9353
0.3370 0.8251 0.5647
0.3307 0.8163 0.9381
0.3589 0.5338 0.2491
0.8589 0.9662 0.7491
0.8307 0.6837 0.4381
0.8370 0.6749 0.0647
0.6630 0.1749 0.4353
0.6693 0.1837 0.0619
0.6411 0.4662 0.7509
0.5000 0.5000 0.0000
0.0000 0.0000 0.5000
0.0578 0.6160 0.7432
0.4422 0.1160 0.7568
0.5578 0.8840 0.2432
0.9422 0.3840 0.2568
```

---

[4]
A relaxed structure of Mg2ScBr, computed with PBE.

Energy relative to the elements, uncorrected, eV per atom: -0.125
Magnetization, μB per cell: 0.01
Space group: I-4m2, No. 119
Crystal system: tetragonal
ΔE to the lowest computed polymorph, kJ per mole of atoms: 24.11

Geometry as POSCAR:
```
Mg2ScBr
1.0
5.7930 0.0016 0.0000
2.4322 5.2577 0.0000
-4.1126 -2.6296 3.1193
Br Mg Sc
1 2 1
direct
0.7500 0.2500 0.5000
0.0000 0.0000 0.0000
0.2500 0.7500 0.5000
0.5000 0.5000 0.0000
```

---

[5]
A relaxed structure of Rb3Ni2Br7, computed with PBE.

Energy relative to the elements, uncorrected, eV per atom: -0.982
Magnetization, μB per cell: 1.36
Space group: I4/mmm, No. 139
Crystal system: tetragonal

Geometry as POSCAR:
```
Rb3Ni2Br7
1.0
5.0771 0.0000 -0.9542
-0.1793 5.0740 -0.9542
-0.0008 -0.0008 13.9808
Rb Ni Br
3 2 7
direct
0.3195 0.3195 0.6391
0.6805 0.6805 0.3609
0.5000 0.5000 0.0000
0.0955 0.0955 0.1910
0.9045 0.9045 0.8090
0.0000 0.0000 0.0000
0.9071 0.4071 0.8143
0.4071 0.9071 0.8143
0.0929 0.5929 0.1857
0.5929 0.0929 0.1857
0.1880 0.1880 0.3760
0.8120 0.8120 0.6240
```

---

[6]
A relaxed structure of Mg2FeP, computed with PBE.

Magnetization, μB per cell: 0.93
Space group: P4mm, No. 99
Crystal system: tetragonal
Formation energy, eV/atom: -0.19

Geometry as POSCAR:
```
Mg2FeP
1.0
2.9906 0.0000 0.0000
0.0000 2.9906 0.0000
0.0000 0.0000 7.0927
Fe Mg P
1 2 1
direct
0.5000 0.5000 0.6872
0.0000 0.0000 0.9533
0.5000 0.5000 0.2971
0.0000 0.0000 0.5624
```

---

[7]
A relaxed structure of PrDyMg, computed with PBE.

Magnetization, μB per cell: 0.00
Space group: Cmcm, No. 63
Crystal system: orthorhombic
ΔE to the lowest computed polymorph, kJ per mole of atoms: 0.00
Formation energy, eV/atom: -0.05

Geometry as POSCAR:
```
PrDyMg
1.0
5.3179 0.0000 0.0000
0.0000 5.0559 -1.5848
0.0000 -0.5863 6.9794
Pr Dy Mg
2 2 2
direct
0.7500 0.5907 0.6817
0.2500 0.4093 0.3183
0.7500 0.9066 0.3130
0.2500 0.0934 0.6870
0.7500 0.2501 0.0006
0.2500 0.7499 0.9994
```

---

[8]
A relaxed structure of YPaReRu, computed with PBE.

Magnetization, μB per cell: 0.00
Space group: F-43m, No. 216
Crystal system: cubic
Formation energy, eV/atom: -0.14

Geometry as POSCAR:
```
YPaReRu
1.0
4.8646 0.0000 0.0000
2.4323 4.2129 0.0000
2.4323 1.4043 3.9720
Y Re Pa Ru
1 1 1 1
direct
0.5000 0.5000 0.5000
0.2500 0.2500 0.2500
0.0000 0.0000 0.0000
0.7500 0.7500 0.7500
```

---

[9]
A relaxed structure of ScIn2Hg6, computed with PBE.

Magnetization, μB per cell: 0.00
Space group: C2/m, No. 12
Crystal system: monoclinic
Formation energy, eV/atom: -0.08

Geometry as POSCAR:
```
ScIn2Hg6
1.0
4.6305 0.0183 0.7125
1.9767 6.0194 2.1800
-0.0904 0.8043 8.1578
Sc In Hg
1 2 6
direct
0.0000 0.0000 0.5000
0.5000 0.8310 0.8380
0.5000 0.1690 0.1620
0.1640 0.8365 0.1892
0.8360 0.4743 0.1892
0.8360 0.1635 0.8108
0.1640 0.5257 0.8108
0.3362 0.3213 0.5000
0.6638 0.6787 0.5000
```

---

[10]
A relaxed structure of Rb3TmTh3Te8, computed with PBE.

Energy relative to the elements, uncorrected, eV per atom: -1.227
Magnetization, μB per cell: 0.00
Space group: R-3m, No. 166
Crystal system: trigonal

Geometry as POSCAR:
```
Rb3TmTh3Te8
1.0
8.9337 0.0000 0.0001
-4.4669 7.7332 -0.0328
0.0002 -5.1156 8.9234
Rb Tm Th Te
3 1 3 8
direct
0.0000 0.0000 0.0000
0.0000 0.5000 0.0000
0.5000 0.5000 0.0000
0.0000 0.0000 0.5000
0.5000 0.0000 0.5000
0.5000 0.5000 0.5000
0.0000 0.5000 0.5000
0.2629 0.5257 0.2888
0.7371 0.4743 0.7112
0.7695 0.5391 0.2986
0.2305 0.4609 0.7014
0.7696 0.0289 0.2986
0.2304 0.9711 0.7014
0.2593 0.0289 0.2986
0.7407 0.9711 0.7014
```

---

[11]
A relaxed structure of NdPaIr, computed with PBE.

Magnetization, μB per cell: 0.00
Space group: P3m1, No. 156
Crystal system: trigonal
ΔE to the lowest computed polymorph, kJ per mole of atoms: 33.87
Formation energy, eV/atom: -0.22

Geometry as POSCAR:
```
NdPaIr
1.0
-2.8016 0.1340 -3.6352
2.8583 -2.6881 -2.3019
-3.3305 -1.8322 2.4991
Pa Nd Ir
1 1 1
direct
0.1672 0.3333 0.6667
0.6668 0.6667 0.3333
0.1661 0.0000 0.0000
```

---

[12]
A relaxed structure of TbEr3In, computed with PBE.

Magnetization, μB per cell: 0.04
Space group: Cmcm, No. 63
Crystal system: orthorhombic
ΔE to the lowest computed polymorph, kJ per mole of atoms: 0.28
Formation energy, eV/atom: -0.18

Geometry as POSCAR:
```
TbEr3In
1.0
4.6693 0.0000 1.0671
0.0000 4.7850 0.0000
-0.4506 0.0000 12.7214
Tb Er In
2 6 2
direct
0.4733 0.7500 0.7018
0.1751 0.2500 0.2982
0.7722 0.2500 0.1039
0.3725 0.2500 0.9033
0.5743 0.2500 0.4997
0.2758 0.7500 0.0967
0.8761 0.7500 0.8961
0.0740 0.7500 0.5003
0.6719 0.7500 0.3045
0.9764 0.2500 0.6955
```

---

[13]
A relaxed structure of LaNdScGa, computed with PBE.

Magnetization, μB per cell: 1.02
Space group: F-43m, No. 216
Crystal system: cubic
Formation energy, eV/atom: -0.15

Geometry as POSCAR:
```
LaNdScGa
1.0
-5.0861 -1.2324 -1.2654
-2.7027 -3.6176 2.9320
-4.0306 1.5936 3.1942
Sc Nd Ga La
1 1 1 1
direct
0.7500 0.7500 0.7500
0.0000 0.0000 0.0000
0.2500 0.2500 0.2500
0.5000 0.5000 0.5000
```

---

[14]
A relaxed structure of AlMoPt2, computed with PBE.

Magnetization, μB per cell: 0.00
Space group: Cm, No. 8
Crystal system: monoclinic
Formation energy, eV/atom: -0.49

Geometry as POSCAR:
```
AlMoPt2
1.0
4.7769 -0.0003 -0.0061
3.9674 2.6605 -0.0061
0.9012 0.2742 4.8249
Mo Al Pt
1 1 2
direct
0.7553 0.7553 0.7759
0.5011 0.5011 0.4667
0.0038 0.0038 0.9746
0.2398 0.2398 0.2828
```

---

[15]
A relaxed structure of ZnTeAu2, computed with PBE.

Energy relative to the elements, uncorrected, eV per atom: 0.049
Magnetization, μB per cell: 0.00
Space group: P4/mmm, No. 123
Crystal system: tetragonal
ΔE to the lowest computed polymorph, kJ per mole of atoms: 12.06

Geometry as POSCAR:
```
ZnTeAu2
1.0
3.0242 0.0000 0.0000
0.0000 3.0242 0.0000
0.0000 0.0000 9.0387
Au Te Zn
2 1 1
direct
0.0000 0.0000 0.9408
0.0000 0.0000 0.5592
0.5000 0.5000 0.2500
0.5000 0.5000 0.7500
```

---

[16]
A relaxed structure of AcPmSm2Tl2, computed with PBE.

Magnetization, μB per cell: 0.00
Space group: Pmc2_1, No. 26
Crystal system: orthorhombic
Formation energy, eV/atom: -0.24

Geometry as POSCAR:
```
AcPmSm2Tl2
1.0
5.2374 0.0000 0.0000
0.0000 7.1575 0.0000
0.0000 0.0000 10.4840
Ac Pm Sm Tl
2 2 4 4
direct
0.0000 0.9496 0.4519
0.0000 0.4496 0.5481
0.5000 0.1771 0.6978
0.5000 0.6771 0.3022
0.5000 0.0574 0.0467
0.0000 0.3414 0.1793
0.5000 0.5574 0.9533
0.0000 0.8414 0.8207
0.0000 0.2960 0.8738
0.5000 0.2241 0.3564
0.0000 0.7960 0.1262
0.5000 0.7241 0.6436
```

---

[17]
A relaxed structure of ZnTcSe2, computed with PBE.

Energy relative to the elements, uncorrected, eV per atom: -0.106
Magnetization, μB per cell: 0.00
Space group: Imm2, No. 44
Crystal system: orthorhombic
ΔE to the lowest computed polymorph, kJ per mole of atoms: 16.86

Geometry as POSCAR:
```
ZnTcSe2
1.0
12.2627 0.0000 0.0000
0.0000 3.0820 0.0000
0.0000 0.0000 4.8318
Zn Tc Se
2 2 4
direct
0.0000 0.0000 0.2008
0.5000 0.5000 0.7008
0.0000 0.5000 0.6451
0.5000 0.0000 0.1451
0.1431 0.0000 0.8090
0.8569 0.0000 0.8090
0.6431 0.5000 0.3090
0.3569 0.5000 0.3090
```